LaBr, single point on PBEsol structure, DFT meta-GGA SCAN; size of the total moment = 0.00 μB per formula unit; electronic total energy = -32.65 eV/atom; density = 7.0 Mg/m³; N(E_F) = 0.498 states/eV per atom; symmetry = C2/m (12)
1.0
-2.8830 2.0276 -0.9650
-2.4328 -4.0515 -1.2447
-0.6404 -1.4000 5.8907
La Br
2 2
Cartesian
-4.7699 -2.3003 2.4976
-1.1864 -1.1236 1.1834
-2.2754 -1.3197 4.0249
-3.6808 -2.1042 -0.3439

LiLaBr, single point on PBEsol structure, DFT meta-GGA SCAN; size of the total moment = 0.82 μB per formula unit; electronic total energy = -22.54 eV/atom; density = 4.6 Mg/m³; N(E_F) = 0.614 states/eV per atom; symmetry = P3m1 (156)
1.0
3.6194 0.0000 0.0000
-1.8097 3.1345 0.0000
0.0000 0.0000 7.2123
Br La Li
1 1 1
Cartesian
0.0000 0.0000 0.2067
0.0000 2.0897 5.0950
1.8097 1.0448 1.9106

LiLaBr, single point on PBEsol structure, DFT meta-GGA SCAN; size of the total moment = 1.09 μB per formula unit; electronic total energy = -22.20 eV/atom; density = 4.5 Mg/m³; N(E_F) = 0.464 states/eV per atom; symmetry = F-43m (216)
1.0
-4.7548 0.8892 0.8340
-3.2702 -0.5433 -3.6200
-3.2062 -3.7146 0.1261
Li Br La
1 1 1
Cartesian
-5.6156 -1.6844 -1.3300
-2.8078 -0.8422 -0.6650
0.0000 0.0000 0.0000

Li2LaBr, single point on PBEsol structure, DFT meta-GGA SCAN; size of the total moment = 0.00 μB per formula unit; electronic total energy = -17.34 eV/atom; density = 4.0 Mg/m³; N(E_F) = 0.587 states/eV per atom; symmetry = P2/m (10)
1.0
-3.9598 -1.2628 -0.3000
0.5033 -1.8600 3.8331
-1.6503 4.5938 2.4458
Li La Br
2 1 1
Cartesian
-2.7553 -2.3331 2.5230
-0.7012 -0.7897 1.0102
-2.8050 1.6655 1.0729
-0.5735 1.3669 3.1395

LiLaBr, single point on PBEsol structure, DFT meta-GGA SCAN; size of the total moment = 0.80 μB per formula unit; electronic total energy = -22.46 eV/atom; density = 4.5 Mg/m³; N(E_F) = 0.687 states/eV per atom; symmetry = Fmm2 (42)
1.0
-1.3403 0.0032 -3.3086
2.5570 -2.3862 0.7149
-5.6983 -3.6465 3.3540
Br La Li
1 1 1
Cartesian
-0.1649 -0.1567 0.0666
-3.5407 -3.3654 1.4310
-0.7760 -2.5073 -0.7373

Li2LaBr, single point on PBEsol structure, DFT meta-GGA SCAN; size of the total moment = 0.01 μB per formula unit; electronic total energy = -17.32 eV/atom; density = 3.6 Mg/m³; N(E_F) = 0.713 states/eV per atom; symmetry = I4/mmm (139)
1.0
-2.3433 3.4498 0.2583
-3.4526 -2.3517 0.0879
3.2189 -0.7908 5.9694
Br La Li
1 1 2
Cartesian
-2.8979 0.5490 0.1731
0.0000 0.0000 0.0000
-1.5658 -1.2968 3.1152
-1.0111 1.6040 3.2004